Below is crystalline NdTm2Ir2 at its relaxed geometry, with properties calculated at the PBE level.

Calculated values
**DOS(E_F)**: 2.67 states/eV/f.u.
**E**: -7.00 eV per atom

Unit cell a=5.387 b=4.447 c=10.604 alpha=90.00 beta=99.73 gamma=90.00
Space group P2_1/m (No. 11)
Inequivalent atoms, fractional coordinates:
Nd1 0.082 0.250 0.283 x2
Tm1 0.252 0.250 0.974 x2
Tm2 0.396 0.250 0.613 x2
Ir1 0.153 0.750 0.476 x2
Ir2 0.281 0.750 0.136 x2

***

Below is crystalline NdTmIr4 at its relaxed geometry, with properties calculated at the PBE level.

Calculated values
**DOS(E_F)**: 5.00 states/eV/f.u.
**E**: -8.20 eV per atom

Unit cell a=7.619 b=7.619 c=7.619 alpha=90.00 beta=90.00 gamma=90.00
Space group F-43m (No. 216)
Inequivalent atoms, fractional coordinates:
Nd1 0.000 0.000 0.000 x4
Tm1 0.250 0.250 0.750 x4
Ir1 0.125 0.125 0.375 x16

***

Below is crystalline NdTm5Ir6 at its relaxed geometry, with properties calculated at the PBE level.

Calculated values
**DOS(E_F)**: 3.75 states/eV/f.u.
**E**: -7.53 eV per atom

Unit cell a=4.703 b=14.143 c=7.137 alpha=90.00 beta=90.00 gamma=90.00
Space group Cmmm (No. 65)
Inequivalent atoms, fractional coordinates:
Nd1 0.000 0.000 0.000 x2
Tm1 0.000 0.000 0.500 x2
Tm2 0.000 0.332 0.000 x4
Tm3 0.000 0.333 0.500 x4
Ir1 0.000 0.169 0.254 x8
Ir2 0.000 0.500 0.259 x4

***

Below is crystalline Nd5TmIr4 at its relaxed geometry, with properties calculated at the PBE level.

Calculated values
**DOS(E_F)**: 5.98 states/eV/f.u.
**E**: -6.92 eV per atom

Unit cell a=18.664 b=4.296 c=7.558 alpha=90.00 beta=113.76 gamma=90.00
Space group C2/m (No. 12)
Inequivalent atoms, fractional coordinates:
Nd1 0.000 0.000 0.000 x2
Nd2 0.164 0.500 0.421 x4
Nd3 0.164 0.500 0.908 x4
Tm1 0.000 0.000 0.500 x2
Ir1 0.000 0.500 0.260 x4
Ir2 0.197 0.000 0.697 x4

***

Below is crystalline Nd2TmIr9 at its relaxed geometry, with properties calculated at the PBE level.

Calculated values
**DOS(E_F)**: 10.87 states/eV/f.u.
**E**: -8.33 eV per atom

Unit cell a=5.3343 b=5.3343 c=26.6745 alpha=90.00 beta=90.00 gamma=120.00
Space group R-3m (No. 166, hexagonal axes)
Inequivalent atoms, fractional coordinates:
Nd1 0.0000 0.0000 0.1392 x6
Tm1 0.0000 0.0000 0.0000 x3
Ir1 0.0000 0.0000 0.3322 x6
Ir2 0.0000 0.0000 0.5000 x3
Ir3 0.0028 0.5014 0.0804 x18

***

Below is crystalline Nd3TmIr3 at its relaxed geometry, with properties calculated at the PBE level.

Calculated values
**DOS(E_F)**: 3.83 states/eV/f.u.
**E**: -7.05 eV per atom

Unit cell a=10.863 b=9.647 c=6.805 alpha=90.00 beta=101.35 gamma=90.00
Space group C2/m (No. 12)
Inequivalent atoms, fractional coordinates:
Nd1 0.000 0.192 0.000 x4
Nd2 0.000 0.278 0.500 x4
Nd3 0.202 0.500 0.007 x4
Tm1 0.212 0.000 0.451 x4
Ir1 0.053 0.000 0.712 x4
Ir2 0.248 0.249 0.739 x8

***

Look up the E of the fourth one. -6.92 eV per atom

***

Which of these has the lowest DOS(E_F)? NdTm2Ir2